{"formula": "Sc5Cu", "functional": "GGA-PBE", "state": "optimized geometry", "polymorph_energy_mev_per_atom": 180, "dft_energy_ev_per_atom": -5.8299, "density_g_cm3": 3.5, "space_group": "I4/mcm", "n_ef_per_ev_fu": 9.21, "vol_a3_per_cell": 277, "delta_e_f_ev_per_atom": 0.1290, "lattice": [[-3.9508, 2.0714, -5.2455], [-1.4350, -6.5630, -1.5109], [-1.9305, 2.4376, 6.9363]], "species": ["Sc", "Sc", "Sc", "Sc", "Sc", "Sc", "Sc", "Sc", "Sc", "Sc", "Cu", "Cu"], "frac_coords": [[0.0000, 0.0000, 0.0000], [0.8049, 0.9845, 0.2894], [0.9845, 0.4845, 0.2894], [0.4845, 0.3049, 0.2894], [0.5155, 0.6951, 0.7106], [0.1951, 0.0155, 0.7106], [0.0155, 0.5155, 0.7106], [0.5000, 0.5000, 0.0000], [0.3049, 0.8049, 0.2894], [0.6951, 0.1951, 0.7106], [0.7500, 0.7500, 0.5000], [0.2500, 0.2500, 0.5000]]}

***

{"formula": "Pr7Cu2Pt2", "functional": "GGA-PBE", "state": "optimized geometry", "dft_energy_ev_per_atom": -5.1553, "density_g_cm3": 7.6, "space_group": "Cmmm", "n_ef_per_ev_fu": 13.85, "vol_a3_per_cell": 329, "delta_e_f_ev_per_atom": -0.2707, "lattice": [[-5.1598, 3.6878, -2.6759], [-4.4352, -5.8670, 0.4668], [-0.0395, 0.5756, 6.8594]], "species": ["Pr", "Pr", "Pr", "Pr", "Pr", "Pr", "Pr", "Cu", "Cu", "Pt", "Pt"], "frac_coords": [[0.9998, 0.2722, 0.5003], [0.4997, 0.2722, 0.0002], [0.4998, 0.2629, 0.5002], [0.5003, 0.7278, 0.9998], [0.0000, 0.0000, 0.0000], [0.0002, 0.7278, 0.4997], [0.5002, 0.7371, 0.4998], [0.8375, 0.5000, 0.8375], [0.1625, 0.5000, 0.1625], [0.2928, 0.0000, 0.7072], [0.7072, 0.0000, 0.2928]]}

***

{"formula": "Mg12In3Ga", "functional": "GGA-PBE", "state": "optimized geometry", "dft_energy_ev_per_atom": -1.9790, "density_g_cm3": 3.3, "space_group": "P4/mmm", "n_ef_per_ev_fu": 8.14, "vol_a3_per_cell": 355, "delta_e_f_ev_per_atom": -0.0804, "lattice": [[-0.0985, 4.1005, 1.6601], [0.8129, -1.6155, 4.0385], [17.8191, 1.6181, -2.9396]], "species": ["Mg", "Mg", "Mg", "Mg", "Mg", "Mg", "Mg", "Mg", "Mg", "Mg", "Mg", "Mg", "Ga", "In", "In", "In"], "frac_coords": [[0.5000, 0.0000, 0.3727], [0.0000, 0.5000, 0.3727], [0.5000, 0.0000, 0.6273], [0.5000, 0.0000, 0.8815], [0.0000, 0.5000, 0.1185], [0.0000, 0.5000, 0.6273], [0.5000, 0.0000, 0.1185], [0.5000, 0.5000, 0.7546], [0.5000, 0.5000, 0.5000], [0.5000, 0.5000, 0.2454], [0.0000, 0.5000, 0.8815], [0.5000, 0.5000, 0.0000], [0.0000, 0.0000, 0.0000], [0.0000, 0.0000, 0.7540], [0.0000, 0.0000, 0.2460], [0.0000, 0.0000, 0.5000]]}

***

{"formula": "La3AsAu", "functional": "GGA-PBE", "state": "optimized geometry", "polymorph_energy_mev_per_atom": 0, "dft_energy_ev_per_atom": -4.9346, "density_g_cm3": 6.3, "space_group": "Pm-3m", "n_ef_per_ev_fu": 9.88, "vol_a3_per_cell": 182, "delta_e_f_ev_per_atom": -0.3928, "lattice": [[-2.5966, -0.4205, 5.0162], [-4.9921, -0.5100, -2.6269], [0.6467, -5.6253, -0.1369]], "species": ["La", "La", "La", "Au", "As"], "frac_coords": [[0.5000, 0.0000, 0.0000], [0.0000, 0.0000, 0.5000], [0.0000, 0.5000, 0.0000], [0.5000, 0.5000, 0.5000], [0.0000, 0.0000, 0.0000]]}

***

{"formula": "CdCo2Ge2", "functional": "GGA-PBE", "state": "optimized geometry", "dft_energy_ev_per_atom": -4.8553, "density_g_cm3": 8.8, "space_group": "P4/mbm", "n_ef_per_ev_fu": 3.17, "vol_a3_per_cell": 142, "delta_e_f_ev_per_atom": 0.0170, "lattice": [[7.0078, 0.0000, 0.0000], [0.0000, 7.0078, 0.0000], [0.0000, 0.0000, 2.9009]], "species": ["Ge", "Ge", "Ge", "Ge", "Co", "Co", "Co", "Co", "Cd", "Cd"], "frac_coords": [[0.1502, 0.6502, 0.5000], [0.8498, 0.3498, 0.5000], [0.3498, 0.1502, 0.5000], [0.6502, 0.8498, 0.5000], [0.6417, 0.1417, 0.0000], [0.8583, 0.6417, 0.0000], [0.3583, 0.8583, 0.0000], [0.1417, 0.3583, 0.0000], [0.5000, 0.5000, 0.0000], [0.0000, 0.0000, 0.0000]]}

***

{"formula": "Ti4Zn2N", "functional": "GGA-PBE", "state": "optimized geometry", "polymorph_energy_mev_per_atom": 0, "formation_energy_uncorrected_ev_per_atom": -0.62, "dft_energy_ev_per_atom": -6.6831, "density_g_cm3": 5.7, "space_group": "Fd-3m", "n_ef_per_ev_fu": 5.79, "vol_a3_per_cell": 393, "lattice": [[7.1178, 0.0000, 4.1095], [2.3726, 6.7107, 4.1095], [0.0000, 0.0000, 8.2189]], "species": ["Ti", "Ti", "Ti", "Ti", "Ti", "Ti", "Ti", "Ti", "Ti", "Ti", "Ti", "Ti", "Ti", "Ti", "Ti", "Ti", "Zn", "Zn", "Zn", "Zn", "Zn", "Zn", "Zn", "Zn", "N", "N", "N", "N"], "frac_coords": [[0.4306, 0.0694, 0.4306], [0.6250, 0.1250, 0.6250], [0.6250, 0.6250, 0.6250], [0.8194, 0.8194, 0.1806], [0.0694, 0.4306, 0.4306], [0.1806, 0.8194, 0.8194], [0.4306, 0.4306, 0.0694], [0.1250, 0.6250, 0.6250], [0.1806, 0.1806, 0.8194], [0.8194, 0.1806, 0.1806], [0.4306, 0.0694, 0.0694], [0.0694, 0.0694, 0.4306], [0.8194, 0.1806, 0.8194], [0.6250, 0.6250, 0.1250], [0.1806, 0.8194, 0.1806], [0.0694, 0.4306, 0.0694], [0.4863, 0.8379, 0.8379], [0.4121, 0.4121, 0.4121], [0.4121, 0.4121, 0.7637], [0.8379, 0.8379, 0.4863], [0.8379, 0.4863, 0.8379], [0.7637, 0.4121, 0.4121], [0.8379, 0.8379, 0.8379], [0.4121, 0.7637, 0.4121], [0.1250, 0.1250, 0.6250], [0.1250, 0.1250, 0.1250], [0.6250, 0.1250, 0.1250], [0.1250, 0.6250, 0.1250]]}

***

{"formula": "Rb2SeBr4Cl2", "functional": "GGA-PBE", "state": "optimized geometry", "formation_energy_uncorrected_ev_per_atom": -0.98, "dft_energy_ev_per_atom": -2.7340, "density_g_cm3": 3.5, "space_group": "I4/mmm", "n_ef_per_ev_fu": 0.00, "vol_a3_per_cell": 306, "lattice": [[7.5665, -0.0932, -0.1345], [-3.7138, 6.5931, 0.1345], [-3.7138, -2.1905, 6.2200]], "species": ["Rb", "Rb", "Cl", "Cl", "Br", "Br", "Br", "Br", "Se"], "frac_coords": [[0.5000, 0.2500, 0.7500], [0.5000, 0.7500, 0.2500], [0.0000, 0.2272, 0.2272], [0.0000, 0.7728, 0.7728], [0.0000, 0.2439, 0.7561], [0.4877, 0.2439, 0.2439], [0.0000, 0.7561, 0.2439], [0.5123, 0.7561, 0.7561], [0.0000, 0.0000, 0.0000]]}

***

{"formula": "Hf3Sc3VN8", "functional": "GGA-PBE", "state": "optimized geometry", "formation_energy_uncorrected_ev_per_atom": -1.65, "dft_energy_ev_per_atom": -9.9513, "density_g_cm3": 7.8, "space_group": "R-3m", "n_ef_per_ev_fu": 4.15, "vol_a3_per_cell": 177, "lattice": [[6.2883, 0.0000, 0.0000], [-3.1441, 5.4458, -0.0189], [0.0000, -3.6125, 5.1834]], "species": ["Hf", "Hf", "Hf", "Sc", "Sc", "Sc", "N", "N", "N", "N", "N", "N", "N", "N", "V"], "frac_coords": [[0.5000, 0.0000, 0.5000], [0.5000, 0.5000, 0.5000], [0.0000, 0.5000, 0.5000], [0.0000, 0.0000, 0.0000], [0.5000, 0.5000, 0.0000], [0.0000, 0.5000, 0.0000], [0.7674, 0.5348, 0.2723], [0.2326, 0.9951, 0.7277], [0.2514, 0.5027, 0.2541], [0.7674, 0.0049, 0.2723], [0.7486, 0.4973, 0.7459], [0.7625, 0.9951, 0.7277], [0.2326, 0.4652, 0.7277], [0.2375, 0.0049, 0.2723], [0.0000, 0.0000, 0.5000]]}

***

{"formula": "ZnCdSiIr", "functional": "GGA-PBE", "state": "optimized geometry", "polymorph_energy_mev_per_atom": 70, "formation_energy_uncorrected_ev_per_atom": -0.15, "dft_energy_ev_per_atom": -4.2665, "density_g_cm3": 9.2, "space_group": "Imm2", "n_ef_per_ev_fu": 1.77, "vol_a3_per_cell": 144, "lattice": [[2.7574, 0.0000, 0.0000], [0.0000, 3.9823, 0.0000], [0.0000, 0.0000, 13.1541]], "species": ["Si", "Si", "Ir", "Ir", "Zn", "Zn", "Cd", "Cd"], "frac_coords": [[0.5000, 0.5000, 0.7464], [0.0000, 0.0000, 0.2464], [0.5000, 0.5000, 0.2443], [0.0000, 0.0000, 0.7443], [0.5000, 0.0000, 0.5676], [0.0000, 0.5000, 0.0676], [0.0000, 0.5000, 0.4462], [0.5000, 0.0000, 0.9462]]}

***

{"formula": "Cd2AsW", "functional": "GGA-PBE", "state": "optimized geometry", "dft_energy_ev_per_atom": -4.3794, "density_g_cm3": 9.7, "space_group": "Imm2", "n_ef_per_ev_fu": 3.96, "vol_a3_per_cell": 83, "delta_e_f_ev_per_atom": 0.4788, "lattice": [[6.0674, 0.0663, 0.0086], [3.2093, 5.1495, -0.0086], [-4.0626, -3.6320, 2.6687]], "species": ["W", "As", "Cd", "Cd"], "frac_coords": [[0.4743, 0.4743, 0.0000], [0.2977, 0.7977, 0.5000], [0.0134, 0.0134, 0.0000], [0.7146, 0.2146, 0.5000]]}

***

{"formula": "RePPt2", "functional": "GGA-PBE", "state": "optimized geometry", "polymorph_energy_mev_per_atom": 570, "dft_energy_ev_per_atom": -7.0030, "density_g_cm3": 12.8, "space_group": "I-42d", "n_ef_per_ev_fu": 3.03, "vol_a3_per_cell": 157, "delta_e_f_ev_per_atom": 0.4819, "lattice": [[-2.8242, -3.3357, 2.1723], [3.5138, -3.3406, -0.5614], [2.8779, -1.6601, 6.6752]], "species": ["Re", "Re", "Pt", "Pt", "Pt", "Pt", "P", "P"], "frac_coords": [[0.7500, 0.2500, 0.5000], [0.0000, 0.0000, 0.0000], [0.3750, 0.4111, 0.7500], [0.8750, 0.8389, 0.7500], [0.5889, 0.1250, 0.2500], [0.1611, 0.6250, 0.2500], [0.5000, 0.5000, 0.0000], [0.2500, 0.7500, 0.5000]]}

***

{"formula": "YMg6Ni6", "functional": "GGA-PBE", "state": "optimized geometry", "dft_energy_ev_per_atom": -4.0956, "density_g_cm3": 4.8, "space_group": "Immm", "n_ef_per_ev_fu": 7.30, "vol_a3_per_cell": 203, "delta_e_f_ev_per_atom": -0.1941, "lattice": [[-4.9930, 1.0491, 0.4009], [-2.9091, -3.3364, 5.1660], [-1.1872, 5.2355, 4.1788]], "species": ["Ni", "Ni", "Ni", "Ni", "Ni", "Ni", "Mg", "Mg", "Mg", "Mg", "Mg", "Mg", "Y"], "frac_coords": [[0.5000, 0.7697, 0.2303], [0.5000, 0.2303, 0.7697], [0.0000, 0.0000, 0.5000], [0.0000, 0.5000, 0.0000], [0.5000, 0.0000, 0.5000], [0.5000, 0.5000, 0.0000], [0.0000, 0.6653, 0.3347], [0.6898, 0.8102, 0.8102], [0.3469, 0.6531, 0.6531], [0.6531, 0.3469, 0.3469], [0.0000, 0.3347, 0.6653], [0.3102, 0.1898, 0.1898], [0.0000, 0.0000, 0.0000]]}

***

{"formula": "CrHS2", "functional": "GGA-PBE", "state": "optimized geometry", "polymorph_energy_mev_per_atom": 476, "dft_energy_ev_per_atom": -5.2954, "density_g_cm3": 4.2, "space_group": "C2/m", "n_ef_per_ev_fu": 2.82, "vol_a3_per_cell": 47, "lattice": [[-0.9660, -5.1764, -3.4500], [2.7253, -1.0826, -0.8001], [-1.1528, -0.5198, 2.7641]], "species": ["S", "S", "Cr", "H"], "frac_coords": [[0.2551, 0.2251, 0.7749], [0.7449, 0.7749, 0.2251], [0.0000, 0.0000, 0.0000], [0.5000, 0.5000, 0.5000]]}

***

{"formula": "NiHgPb2", "functional": "GGA-PBE", "state": "optimized geometry", "dft_energy_ev_per_atom": -3.2537, "density_g_cm3": 11.0, "space_group": "C2/m", "n_ef_per_ev_fu": 2.62, "vol_a3_per_cell": 102, "delta_e_f_ev_per_atom": 0.1212, "lattice": [[-1.4371, 1.2186, 3.2190], [-3.2507, -1.2728, 1.3134], [2.6094, -6.2848, 5.7332]], "species": ["Pb", "Pb", "Ni", "Hg"], "frac_coords": [[0.9861, 0.9861, 0.0577], [0.5139, 0.5139, 0.4423], [0.2500, 0.2500, 0.2500], [0.7500, 0.7500, 0.7500]]}